DFT (PBE-GGA) results for a relaxed structure of ErMg2Pb3.

Unit cell a=7.8656 b=7.8656 c=8.8899 alpha=90.00 beta=90.00 gamma=144.33
Closest atoms and distances in Å follow each position.
Positions (direct):
Er  0.3394  0.6606  0.0000  8 Pb 3.32-3.45, 2 Mg 3.40, 2 Er 3.60
Er  0.6606  0.3394  0.0000  8 Pb 3.32-3.45, 2 Mg 3.40, 2 Er 3.60
Mg  0.0000  0.0000  0.0000  8 Pb 3.33-3.39, 4 Er 3.40
Mg  0.0000  0.0000  0.5000  8 Pb 3.22-3.31, 4 Mg 3.48
Mg  0.3320  0.6680  0.5000  8 Pb 3.24-3.31, 4 Mg 3.44-3.48
Mg  0.6680  0.3320  0.5000  8 Pb 3.24-3.31, 4 Mg 3.44-3.48
Pb  0.8329  0.1671  0.7430  5 Mg 3.24-3.39, 3 Er 3.32-3.45, 4 Pb 3.46-3.47
Pb  0.5000  0.5000  0.2588  6 Mg 3.22-3.33, 2 Er 3.33, 4 Pb 3.47
Pb  0.1671  0.8329  0.2570  5 Mg 3.24-3.39, 3 Er 3.32-3.45, 4 Pb 3.46-3.47
Pb  0.8329  0.1671  0.2570  5 Mg 3.24-3.39, 3 Er 3.32-3.45, 4 Pb 3.46-3.47
Pb  0.1671  0.8329  0.7430  5 Mg 3.24-3.39, 3 Er 3.32-3.45, 4 Pb 3.46-3.47
Pb  0.5000  0.5000  0.7412  6 Mg 3.22-3.33, 2 Er 3.33, 4 Pb 3.47

Properties
size of the total moment = 0.00 μB/f.u.
SG = Cmmm
calculated volume = 26.73 A^3/atom
formation energy from the elements = -0.1546 eV/atom
E above lowest polymorph = 0.017 eV per atom